(1)
Ac3CdAs | Alexandria | PBE-GGA | relaxed; ΔE_f = -0.3507 eV/atom
1.0
-1.062 -5.147 -2.837
3.549 -2.859 3.859
-4.684 -1.000 3.567
As Ac Cd
1 3 1
direct
0.000 0.000 0.000
0.500 0.000 0.000
0.000 0.500 0.000
0.000 0.000 0.500
0.500 0.500 0.500

(2)
POs2Pt | Alexandria | PBE-GGA | relaxed; ΔE_f = 0.5033 eV/atom
1.0
-0.771 2.078 1.651
-1.896 -1.446 -1.397
-0.704 -5.737 6.894
Os P Pt
2 1 1
direct
0.000 0.000 0.990
0.500 0.500 0.736
0.000 0.000 0.514
0.500 0.500 0.260

(3)
TiCoAuSe2 | Alexandria | PBE-GGA | relaxed; formation energy without anion corrections = 1.29 eV per atom
1.0
-4.844 -0.415 -1.183
-0.878 -2.249 4.383
-0.885 4.403 2.082
Se Au Ti Co
2 1 1 1
direct
0.000 0.500 0.000
0.500 0.000 0.000
0.000 0.000 0.000
0.000 0.000 0.500
0.500 0.500 0.500

(4)
PrPaAs2 | Alexandria | PBE-GGA | relaxed; ΔE_f = -1.2762 eV/atom; energy above the lowest structure with this stoichiometry = 0 meV per atom
1.0
4.016 0.010 1.178
1.826 3.577 1.178
0.044 0.027 7.283
Pr As Pa
1 2 1
direct
0.500 0.500 0.500
0.744 0.744 0.767
0.256 0.256 0.233
0.000 0.000 0.000

(5)
Al2Hg2Te | Alexandria | PBE-GGA | relaxed; formation energy without anion corrections = 0.19 eV per atom; energy above the lowest structure with this stoichiometry = 80 meV per atom
1.0
8.607 0.000 0.000
0.000 8.607 0.000
0.000 0.000 3.163
Al Hg Te
4 4 2
direct
0.881 0.381 0.500
0.381 0.119 0.500
0.119 0.619 0.500
0.619 0.881 0.500
0.324 0.824 0.000
0.176 0.324 0.000
0.676 0.176 0.000
0.824 0.676 0.000
0.000 0.000 0.000
0.500 0.500 0.000

(6)
V2HRh | Alexandria | PBE-GGA | relaxed; energy above the lowest structure with this stoichiometry = 367 meV per atom
1.0
-1.797 -0.586 -4.731
-2.280 -4.335 1.403
-5.004 -0.610 -0.767
H Rh V
2 2 4
direct
0.250 0.750 0.500
0.500 0.500 0.000
0.750 0.250 0.500
0.000 0.000 0.000
0.374 0.625 0.250
0.875 0.626 0.750
0.376 0.125 0.250
0.375 0.624 0.750

Number 1: electronic total energy -19.64 eV/f.u.. Number 2: electronic total energy -31.90 eV/f.u.. Number 3: electronic total energy -18.78 eV/f.u.. Number 4: electronic total energy -28.68 eV/f.u.. Number 5: electronic total energy -10.29 eV/f.u.. Number 6: electronic total energy -28.34 eV/f.u..